## Tc2IrOs (SCAN)

Data for a PBEsol-optimized structure of Tc2IrOs.

Unit cell a=3.826 b=3.826 c=7.622 alpha=90.00 beta=90.00 gamma=90.00
Space group I4/mmm (No. 139)
Unique sites:
Tc 0.000 0.500 0.250 [4 per cell]
Ir 0.000 0.000 0.000 [2 per cell]
Os 0.000 0.000 0.500 [2 per cell]

The energy relative to the lowest polymorph listed for this composition comes out at 138 meV per atom. As for the calculated formation energy: -0.13 eV/atom. The uncorrected energy comes out at -3.925 Ry/atom.